# Ta2Ni7Sb2Pt

A relaxed Ta2Ni7Sb2Pt crystal (PBE, the Alexandria database).

Properties
Volume, Å³ per cell: 179
Uncorrected formation energy, kJ per mole of atoms: 1.72
Magnetic moment, μB/cell: 0.0

a b c (Å): 3.489 3.489 14.922
angles (deg): 83.35 83.35 90.01
Element x y z (fractional)
Sb (0.187, 0.187, 0.623)
Sb (0.813, 0.813, 0.377)
Ni (0.065, 0.565, 0.867)
Ni (0.435, 0.935, 0.133)
Ni (0.500, 0.500, 0.000)
Ni (0.935, 0.435, 0.133)
Ni (0.565, 0.065, 0.867)
Ni (0.725, 0.725, 0.548)
Ni (0.275, 0.275, 0.452)
Pt (0.000, 0.000, 0.000)
Ta (0.626, 0.626, 0.746)
Ta (0.374, 0.374, 0.254)